[1]
# PdSe2IBr

PdSe2IBr after structural relaxation (PBE, Alexandria).

Calculated values
Total moment in μB per formula unit: 0.000
V in Å³/atom: 25.85
ΔE_f (raw) in meV/atom: 307
Excess energy over the best structure of this formula in the dataset in eV per formula unit: 0.00
Total energy in eV per cell: -13.9

Structure (extended XYZ):
```
5
Lattice="5.049 0.000 0.000 0.000 5.049 0.000 0.000 0.000 5.070" Properties=species:S:1:pos:R:3 pbc="T T T"
Pd 0.000 0.000 0.000
Se 0.000 2.525 0.000
Se 2.525 0.000 0.000
I 2.525 2.525 2.535
Br 0.000 0.000 2.535
```

---

[2]
# TePdI2Br

TePdI2Br after structural relaxation (PBE, Alexandria).

Calculated values
Total moment in μB per formula unit: 1.107
V in Å³/atom: 38.37
ΔE_f (raw) in meV/atom: 913
Excess energy over the best structure of this formula in the dataset in eV per formula unit: 3.46
Total energy in eV per cell: -8.5

Structure (extended XYZ):
```
5
Lattice="5.848 0.000 0.000 0.000 5.848 0.000 0.000 0.000 5.609" Properties=species:S:1:pos:R:3 pbc="T T T"
Te 0.000 0.000 0.000
Pd 2.924 2.924 0.000
I 0.000 2.924 2.804
I 2.924 0.000 2.804
Br 0.000 0.000 2.804
```

---

[3]
# TePdI2Br

TePdI2Br after structural relaxation (PBE, Alexandria).

Calculated values
Total moment in μB per formula unit: 0.000
V in Å³/atom: 31.95
ΔE_f (raw) in meV/atom: 222
Excess energy over the best structure of this formula in the dataset in eV per formula unit: 0.00
Total energy in eV per cell: -12.0

Structure (extended XYZ):
```
5
Lattice="5.482 0.000 0.000 0.000 5.482 0.000 0.000 0.000 5.316" Properties=species:S:1:pos:R:3 pbc="T T T"
Te 0.000 0.000 0.000
Pd 0.000 0.000 2.658
I 0.000 2.741 2.658
I 2.741 0.000 2.658
Br 2.741 2.741 0.000
```

---

[4]
# Tl2PdI4Br2

Tl2PdI4Br2 after structural relaxation (PBE, Alexandria).

Calculated values
Total moment in μB per formula unit: 0.000
V in Å³/atom: 36.07
ΔE_f (raw) in meV/atom: -399
Total energy in eV per cell: -23.1

Structure (extended XYZ):
```
9
Lattice="6.494 -3.905 0.000 6.494 3.905 0.000 -4.888 0.000 6.401" Properties=species:S:1:pos:R:3 pbc="T T T"
Tl 1.868 0.000 1.754
Tl 6.233 0.000 4.647
Pd 6.494 0.000 0.000
I 5.078 1.908 1.308
I 3.023 1.908 5.093
I 5.078 -1.908 1.308
I 3.023 -1.908 5.093
Br -0.089 0.000 4.539
Br 8.190 0.000 1.863
```

---

[5]
# TlPdI2Br6

TlPdI2Br6 after structural relaxation (PBE, Alexandria).

Calculated values
Total moment in μB per formula unit: 0.001
V in Å³/atom: 42.83
ΔE_f (raw) in meV/atom: -258
Total energy in eV per cell: -23.3

Structure (extended XYZ):
```
10
Lattice="8.044 0.000 0.000 3.230 7.542 0.000 3.963 2.661 7.059" Properties=species:S:1:pos:R:3 pbc="T T T"
Tl 0.000 0.000 0.000
Pd 7.607 6.301 2.273
I 8.431 6.892 6.950
I 9.007 2.827 4.844
Br 5.911 8.016 1.626
Br 6.773 6.715 4.848
Br 5.927 4.419 2.254
Br 9.320 8.105 2.439
Br 12.256 8.418 6.725
Br 9.453 4.657 2.848
```

---

[6]
# Tl2PdI2Br2

Tl2PdI2Br2 after structural relaxation (PBE, Alexandria).

Calculated values
Total moment in μB per formula unit: 0.000
V in Å³/atom: 39.62
ΔE_f (raw) in meV/atom: -519
Total energy in eV per cell: -40.0

Structure (extended XYZ):
```
14
Lattice="21.650 0.000 0.000 0.000 4.021 0.000 -1.880 0.000 6.371" Properties=species:S:1:pos:R:3 pbc="T T T"
Tl 3.857 0.000 1.234
Tl 5.088 2.011 5.137
Tl 14.682 2.011 1.234
Tl 15.913 0.000 5.137
Pd 0.000 0.000 0.000
Pd 10.825 2.011 0.000
I 0.480 2.011 1.664
I 8.465 0.000 4.707
I 11.305 0.000 1.664
I 19.290 2.011 4.707
Br 2.842 0.000 4.395
Br 6.103 2.011 1.976
Br 13.667 2.011 4.395
Br 16.928 0.000 1.976
```

---

[7]
# Pm3I4Br2

Pm3I4Br2 after structural relaxation (PBE, Alexandria).

Calculated values
Total moment in μB per formula unit: 2.990
V in Å³/atom: 40.99
ΔE_f (raw) in meV/atom: -1434
Total energy in eV per cell: -36.7

Structure (extended XYZ):
```
9
Lattice="4.129 0.000 0.000 -2.064 3.575 0.000 0.000 0.000 24.993" Properties=species:S:1:pos:R:3 pbc="T T T"
Pm 0.000 0.000 0.000
Pm 0.000 0.000 8.548
Pm 2.064 1.192 16.970
I 0.000 0.000 14.875
I 0.000 0.000 19.065
I 2.064 1.192 6.452
I 2.064 1.192 10.643
Br 2.064 1.192 1.847
Br 2.064 1.192 23.147
```

---

[8]
# PmIBr

PmIBr after structural relaxation (PBE, Alexandria).

Calculated values
Total moment in μB per formula unit: 0.991
V in Å³/atom: 34.78
ΔE_f (raw) in meV/atom: -1206
Excess energy over the best structure of this formula in the dataset in eV per formula unit: 0.78
Total energy in eV per cell: -46.4

Structure (extended XYZ):
```
12
Lattice="7.473 0.000 0.000 0.000 7.473 0.000 0.000 0.000 7.473" Properties=species:S:1:pos:R:3 pbc="T T T"
Pm 0.000 0.000 0.000
Pm 0.000 3.737 3.737
Pm 3.737 0.000 3.737
Pm 3.737 3.737 0.000
I 1.868 1.868 5.605
I 1.868 5.605 1.868
I 5.605 1.868 1.868
I 5.605 5.605 5.605
Br 1.868 1.868 1.868
Br 1.868 5.605 5.605
Br 5.605 1.868 5.605
Br 5.605 5.605 1.868
```

---

- The highest V belongs to which entry?
  TlPdI2Br6

---

- Number 8 is which compound?
  PmIBr